Entry 1:
Computed, not measured: a geometry-optimized ScVPb2 structure at the PBE-GGA level of DFT. Values from VASP.

Values from the calculation:
- Formation energy: 317 meV per atom

Quantum ESPRESSO input file:
```
&SYSTEM
  ibrav = 0, nat = 8, ntyp = 3
/
ATOMIC_SPECIES
Sc 44.96 Sc.upf
Pb 207.20 Pb.upf
V 50.94 V.upf
CELL_PARAMETERS angstrom
-5.382 -3.089 -4.797
4.418 -6.429 -0.817
-1.956 -6.091 -0.295
ATOMIC_POSITIONS crystal
Sc 0.250 0.750 0.500
Pb 0.875 0.894 0.750
V 0.750 0.250 0.500
Pb 0.375 0.356 0.750
Sc 0.500 0.500 0.000
Pb 0.644 0.125 0.250
V 0.000 0.000 0.000
Pb 0.106 0.625 0.250
```



Entry 2:
Computed, not measured: a geometry-optimized KNbBr5 structure at the PBE-GGA level of DFT. Values from VASP.

Values from the calculation:
- E_form (uncorrected): -1057 meV per atom

Quantum ESPRESSO input file:
```
&SYSTEM
  ibrav = 0, nat = 14, ntyp = 3
/
ATOMIC_SPECIES
Br 79.90 Br.upf
K 39.10 K.upf
Nb 92.91 Nb.upf
CELL_PARAMETERS angstrom
-6.991 -4.162 -2.528
8.025 -2.810 -0.544
2.576 -0.106 10.729
ATOMIC_POSITIONS crystal
Br 0.833 0.107 0.474
Br 0.296 0.646 0.389
Br 0.867 0.641 0.974
K 0.217 0.467 0.750
Br 0.704 0.354 0.611
Br 0.648 0.898 0.750
Nb 0.500 0.000 0.500
Br 0.133 0.359 0.026
Br 0.243 0.093 0.889
Br 0.352 0.102 0.250
Nb 0.000 0.000 0.000
K 0.783 0.533 0.250
Br 0.167 0.893 0.526
Br 0.757 0.907 0.111
```



Entry 3:
Computed, not measured: a geometry-optimized Er4ZnCu2Ir structure at the PBE-GGA level of DFT. Values from VASP.

Values from the calculation:
- Formation energy: -498 meV per atom

Quantum ESPRESSO input file:
```
&SYSTEM
  ibrav = 0, nat = 8, ntyp = 4
/
ATOMIC_SPECIES
Zn 65.41 Zn.upf
Ir 192.22 Ir.upf
Er 167.26 Er.upf
Cu 63.55 Cu.upf
CELL_PARAMETERS angstrom
-3.623 1.038 3.097
-0.502 -2.570 4.116
3.362 4.662 6.212
ATOMIC_POSITIONS crystal
Zn 0.000 0.000 0.000
Ir 0.500 0.500 0.500
Er 0.129 0.129 0.614
Cu 0.256 0.256 0.232
Cu 0.744 0.744 0.768
Er 0.621 0.621 0.138
Er 0.379 0.379 0.862
Er 0.871 0.871 0.386
```



Entry 4:
Computed, not measured: a geometry-optimized InRh2Au structure at the PBE-GGA level of DFT. Values from VASP.

Values from the calculation:
- Formation energy: -60 meV per atom

Quantum ESPRESSO input file:
```
&SYSTEM
  ibrav = 0, nat = 4, ntyp = 3
/
ATOMIC_SPECIES
Au 196.97 Au.upf
In 114.82 In.upf
Rh 102.91 Rh.upf
CELL_PARAMETERS angstrom
-2.898 -0.219 0.686
1.136 -1.806 4.223
0.475 3.740 3.201
ATOMIC_POSITIONS crystal
Au 0.500 0.500 0.000
In 0.000 0.500 0.500
Rh 0.000 0.000 0.000
Rh 0.500 0.000 0.500
```



Entry 5:
Computed, not measured: a geometry-optimized CaHSe2N structure at the PBE-GGA level of DFT. Values from VASP.

Quantum ESPRESSO input file:
```
&SYSTEM
  ibrav = 0, nat = 5, ntyp = 4
/
ATOMIC_SPECIES
Se 78.96 Se.upf
N 14.01 N.upf
H 1.01 H.upf
Ca 40.08 Ca.upf
CELL_PARAMETERS angstrom
-4.022 -4.257 0.078
3.349 -3.097 3.674
-2.147 2.097 3.724
ATOMIC_POSITIONS crystal
Se 0.000 0.500 0.000
N 0.000 0.000 0.500
Se 0.500 0.000 0.000
H 0.500 0.500 0.500
Ca 0.000 0.000 0.000
```



Entry 6:
Computed, not measured: a geometry-optimized Th3BiRu structure at the PBE-GGA level of DFT. Values from VASP.

Values from the calculation:
- Formation energy: -360 meV per atom

Quantum ESPRESSO input file:
```
&SYSTEM
  ibrav = 0, nat = 10, ntyp = 3
/
ATOMIC_SPECIES
Th 232.04 Th.upf
Bi 208.98 Bi.upf
Ru 101.07 Ru.upf
CELL_PARAMETERS angstrom
-4.030 -1.057 -3.185
4.962 -1.254 -5.864
-2.077 -6.593 4.817
ATOMIC_POSITIONS crystal
Th 0.000 0.879 0.758
Th 0.500 0.305 0.000
Bi 0.000 0.641 0.281
Ru 0.500 0.893 0.785
Th 0.500 0.695 0.000
Bi 0.000 0.359 0.719
Ru 0.500 0.107 0.215
Th 0.500 0.000 0.500
Th 0.500 0.500 0.500
Th 0.000 0.121 0.242
```



Entry 7:
Computed, not measured: a geometry-optimized Ti3W2 structure at the PBE-GGA level of DFT. Values from VASP.

Values from the calculation:
- Formation energy: 142 meV per atom

Quantum ESPRESSO input file:
```
&SYSTEM
  ibrav = 0, nat = 10, ntyp = 2
/
ATOMIC_SPECIES
Ti 47.87 Ti.upf
W 183.84 W.upf
CELL_PARAMETERS angstrom
4.670 0.000 1.874
2.335 6.909 0.937
0.570 0.000 5.335
ATOMIC_POSITIONS crystal
Ti 0.501 0.798 0.000
W 0.102 0.597 0.000
Ti 0.751 0.298 0.500
W 0.351 0.097 0.500
Ti 0.299 0.202 0.000
Ti 0.150 0.500 0.500
Ti 0.549 0.702 0.500
W 0.698 0.403 0.000
W 0.949 0.903 0.500
Ti 0.900 0.000 0.000
```



Entry 8:
Computed, not measured: a geometry-optimized Cs2Hg2SeS2 structure at the PBE-GGA level of DFT. Values from VASP.

Values from the calculation:
- E_form (uncorrected): -599 meV per atom

Quantum ESPRESSO input file:
```
&SYSTEM
  ibrav = 0, nat = 7, ntyp = 4
/
ATOMIC_SPECIES
Cs 132.91 Cs.upf
S 32.06 S.upf
Se 78.96 Se.upf
Hg 200.59 Hg.upf
CELL_PARAMETERS angstrom
4.301 0.000 0.000
2.150 7.690 1.977
-0.001 4.310 9.118
ATOMIC_POSITIONS crystal
Cs 0.504 0.993 0.721
S 0.179 0.642 0.674
S 0.821 0.358 0.326
Se 0.000 0.000 0.000
Hg 0.216 0.568 0.221
Cs 0.496 0.007 0.279
Hg 0.784 0.432 0.779
```



The E results, record by record, are as follows: -43.201, -53.859, -40.564, -20.957, -14.794, -74.430, -97.762, -18.240 eV for the cell shown.